# 1
This record from Alexandria describes a relaxed TbPm6Y2Sc3 crystal. The functional is PBE.

CIF file:
```
data_TbPm6Y2Sc3
_cell_length_a 6.156
_cell_length_b 10.655
_cell_length_c 11.533
_cell_angle_alpha 90.00
_cell_angle_beta 100.21
_cell_angle_gamma 90.00
_space_group_name_H-M_alt 'C 1 2/m 1'
_space_group_IT_number 12
_space_group_name_Hall '-C 2y'
loop_
_atom_site_label
_atom_site_fract_x
_atom_site_fract_y
_atom_site_fract_z
_atom_site_occupancy
Tb1 0.000 0.000 0.000 1
Pm1 0.246 0.000 0.740 1
Pm2 0.247 0.334 0.740 1
Y1 0.000 0.333 0.000 1
Sc1 0.000 0.167 0.500 1
Sc2 0.000 0.500 0.500 1
```

## Properties
The total magnetic moment is 0.0 μB/f.u. The value obtained for the energy of formation from the pure elements is 0.045 eV/atom. The total energy comes out at -5.377 eV per atom.

=====

# 2
This record from Alexandria describes a relaxed K3Pm3PaTe8 crystal. The functional is PBE.

CIF file:
```
data_K3Pm3PaTe8
_cell_length_a 9.0880
_cell_length_b 9.0880
_cell_length_c 25.1544
_cell_angle_alpha 90.00
_cell_angle_beta 90.00
_cell_angle_gamma 120.00
_space_group_name_H-M_alt 'R -3 m'
_space_group_IT_number 166
_space_group_name_Hall '-R 3 2"'
loop_
_atom_site_label
_atom_site_fract_x
_atom_site_fract_y
_atom_site_fract_z
_atom_site_occupancy
K1 0.0000 0.5000 0.0000 1
Pm1 0.0000 0.5000 0.5000 1
Pa1 0.0000 0.0000 0.5000 1
Te1 0.0000 0.0000 0.2378 1
Te2 0.0056 0.5028 0.2361 1
```

## Properties
Its energy relative to the elements, uncorrected is -1.292 eV per atom. The total magnetic moment is 1.0 μB/f.u. The total energy comes out at -4.770 eV per atom.

=====

# 3
This record from Alexandria describes a relaxed YNiOs crystal. The functional is PBE.

CIF file:
```
data_YNiOs
_cell_length_a 4.243
_cell_length_b 4.695
_cell_length_c 11.345
_cell_angle_alpha 90.00
_cell_angle_beta 90.00
_cell_angle_gamma 90.00
_space_group_name_H-M_alt 'I m m a'
_space_group_IT_number 74
_space_group_name_Hall '-I 2b 2'
loop_
_atom_site_label
_atom_site_fract_x
_atom_site_fract_y
_atom_site_fract_z
_atom_site_occupancy
Y1 0.000 0.250 0.126 1
Ni1 0.000 0.000 0.500 1
Os1 0.000 0.250 0.697 1
```

## Properties
The total magnetic moment is 0.0 μB/f.u. The value obtained for the energy of formation from the pure elements is -0.221 eV/atom. For the offset from the most stable computed form, the calculation gives 41 kJ/mol of formula units. The total energy comes out at -8.046 eV per atom.

=====

# 4
This record from Alexandria describes a relaxed Pr8Si3HI4 crystal. The functional is PBE.

CIF file:
```
data_Pr8Si3HI4
_cell_length_a 8.5190
_cell_length_b 8.5190
_cell_length_c 23.3982
_cell_angle_alpha 90.00
_cell_angle_beta 90.00
_cell_angle_gamma 120.00
_space_group_name_H-M_alt 'R -3 m'
_space_group_IT_number 166
_space_group_name_Hall '-R 3 2"'
loop_
_atom_site_label
_atom_site_fract_x
_atom_site_fract_y
_atom_site_fract_z
_atom_site_occupancy
Pr1 0.0000 0.0000 0.2335 1
Pr2 0.0032 0.5016 0.2320 1
Si1 0.0000 0.5000 0.5000 1
H1 0.0000 0.0000 0.5000 1
I1 0.0000 0.0000 0.0000 1
I2 0.0000 0.5000 0.0000 1
```

## Properties
The total magnetic moment is 0.1 μB/f.u. The total energy comes out at -4.832 eV per atom.